[1]
Entry from Alexandria: BaRe2 after structural relaxation (PBE).

Computed properties:
**ΔE_f**: 0.6731 eV per atom

a = 4.5189 Å, b = 4.5189 Å, c = 12.2690 Å
α = 102.42°, β = 102.42°, γ = 40.86°
Fractional coordinates of all 6 atoms:
Ba 0.1973 0.1973 0.1710
Ba 0.8027 0.8027 0.8290
Re 0.1564 0.1564 0.5613
Re 0.4586 0.4586 0.6294
Re 0.5414 0.5414 0.3706
Re 0.8436 0.8436 0.4387

[2]
Entry from Alexandria: Y2BiAsAu after structural relaxation (PBE).

Computed properties:
**ΔE_f**: 0.4494 eV per atom

a = 5.7942 Å, b = 5.7942 Å, c = 5.2865 Å
α = 90.00°, β = 90.00°, γ = 90.00°
Fractional coordinates of all 5 atoms:
Y 0.0000 0.5000 0.0000
Y 0.5000 0.0000 0.0000
Bi 0.0000 0.0000 0.0000
As 0.0000 0.0000 0.5000
Au 0.5000 0.5000 0.5000

[3]
Entry from Alexandria: Al3ZnHg after structural relaxation (PBE).

Computed properties:
**ΔE_f**: 0.7474 eV per atom

a = 5.0926 Å, b = 5.0926 Å, c = 5.0926 Å
α = 90.00°, β = 90.00°, γ = 90.00°
Fractional coordinates of all 5 atoms:
Al 0.0000 0.0000 0.5000
Al 0.0000 0.5000 0.0000
Al 0.5000 0.0000 0.0000
Zn 0.5000 0.5000 0.5000
Hg 0.0000 0.0000 0.0000

[4]
Entry from Alexandria: Be3TlP after structural relaxation (PBE).

Computed properties:
**ΔE_f**: 0.6449 eV per atom

a = 4.2658 Å, b = 4.2658 Å, c = 4.2658 Å
α = 90.00°, β = 90.00°, γ = 90.00°
Fractional coordinates of all 5 atoms:
Be 0.0000 0.0000 0.5000
Be 0.0000 0.5000 0.0000
Be 0.5000 0.0000 0.0000
Tl 0.5000 0.5000 0.5000
P 0.0000 0.0000 0.0000

[5]
Entry from Alexandria: KNaS2 after structural relaxation (PBE).

Computed properties:
**ΔE_f (raw)**: -79 kJ/mol of atoms

a = 4.3209 Å, b = 4.3209 Å, c = 6.6708 Å
α = 112.18°, β = 112.18°, γ = 73.88°
Fractional coordinates of all 4 atoms:
K 0.0000 0.0000 0.0000
Na 0.0000 0.0000 0.5000
S 0.4904 0.4904 0.6563
S 0.5096 0.5096 0.3437

[6]
Entry from Alexandria: Er5Ga2Hg2 after structural relaxation (PBE).

Computed properties:
**ΔE_f**: -0.5078 eV per atom

a = 8.8747 Å, b = 8.8747 Å, c = 7.5282 Å
α = 90.00°, β = 90.00°, γ = 50.52°
Fractional coordinates of all 18 atoms:
Er 0.0000 0.0000 0.0000
Er 0.0508 0.6862 0.6750
Er 0.1862 0.5508 0.1750
Er 0.3138 0.9492 0.6750
Er 0.4492 0.8138 0.1750
Er 0.5000 0.5000 0.5000
Er 0.5508 0.1862 0.8250
Er 0.6862 0.0508 0.3250
Er 0.8138 0.4492 0.8250
Er 0.9492 0.3138 0.3250
Ga 0.1205 0.8795 0.3786
Ga 0.3795 0.6205 0.8786
Ga 0.6205 0.3795 0.1214
Ga 0.8795 0.1205 0.6214
Hg 0.2166 0.2166 0.0000
Hg 0.2834 0.2834 0.5000
Hg 0.7166 0.7166 0.5000
Hg 0.7834 0.7834 0.0000

Repeat the first record exactly.
Entry from Alexandria: BaRe2 after structural relaxation (PBE).

Computed properties:
**ΔE_f**: 0.6731 eV per atom

a = 4.5189 Å, b = 4.5189 Å, c = 12.2690 Å
α = 102.42°, β = 102.42°, γ = 40.86°
Fractional coordinates of all 6 atoms:
Ba 0.1973 0.1973 0.1710
Ba 0.8027 0.8027 0.8290
Re 0.1564 0.1564 0.5613
Re 0.4586 0.4586 0.6294
Re 0.5414 0.5414 0.3706
Re 0.8436 0.8436 0.4387